Record 1
Density functional theory data (PBE) for an optimized crystal structure of SrIr2SeO.

a = 5.3029 Å, b = 4.2065 Å, c = 5.3029 Å
α = 90.00°, β = 90.00°, γ = 90.00°
Closest atoms and distances in Å follow each position.
Fractional coordinates of all 5 atoms:
Ir: 0.5000 0.0000 0.0000  2 Sr 2.65
O: 0.0000 0.5000 0.0000  2 Sr 2.10
Sr: 0.0000 0.0000 0.0000  2 O 2.10
Se: 0.5000 0.5000 0.5000  8 Ir 3.38, 4 O 3.75
Ir: 0.0000 0.0000 0.5000  2 Sr 2.65

Summary:
Formation energy from raw total energies, eV per atom: 1.77
Space group: P4/mmm
Mass density, Mg/m³: 7.96

***

Record 2
Density functional theory data (PBE) for an optimized crystal structure of SrHgAsSe2.

a = 5.4170 Å, b = 5.4170 Å, c = 5.1066 Å
α = 90.00°, β = 90.00°, γ = 90.00°
Closest atoms and distances in Å follow each position.
Fractional coordinates of all 5 atoms:
Se: 0.0000 0.5000 0.0000  2 Hg 2.71
Hg: 0.0000 0.0000 0.0000  2 As 2.55, 4 Se 2.71
Sr: 0.5000 0.5000 0.5000  8 Se 3.72, 4 As 3.83
As: 0.0000 0.0000 0.5000  2 Hg 2.55
Se: 0.5000 0.0000 0.0000  2 Hg 2.71

Summary:
Formation energy from raw total energies, eV per atom: -0.17
Space group: P4/mmm
Polymorph energy (0 for the lowest one), meV/atom: 0
Mass density, Mg/m³: 5.77

***

Record 3
Density functional theory data (PBE) for an optimized crystal structure of AcTm4Cd5.

a = 3.7420 Å, b = 3.7420 Å, c = 19.1618 Å
α = 90.00°, β = 90.00°, γ = 90.00°
Closest atoms and distances in Å follow each position.
Fractional coordinates of all 10 atoms:
Ac: 0.0000 0.0000 0.0000  8 Cd 3.54, 4 Ac 3.74
Tm: 0.0000 0.0000 0.2146  8 Cd 3.18-3.21
Cd: 0.5000 0.5000 0.5000  8 Tm 3.21
Tm: 0.0000 0.0000 0.7854  8 Cd 3.18-3.21
Cd: 0.5000 0.5000 0.8770  4 Tm 3.18, 4 Ac 3.54
Cd: 0.5000 0.5000 0.1230  4 Tm 3.18, 4 Ac 3.54
Cd: 0.5000 0.5000 0.3095  8 Tm 3.21-3.22, 1 Cd 3.57
Tm: 0.0000 0.0000 0.5947  8 Cd 3.21-3.22
Cd: 0.5000 0.5000 0.6905  8 Tm 3.21-3.22, 1 Cd 3.57
Tm: 0.0000 0.0000 0.4053  8 Cd 3.21-3.22

Summary:
DFT total energy, eV/atom: -2.952
Space group: P4/mmm
Mass density, Mg/m³: 9.07

***

Record 4
Density functional theory data (PBE) for an optimized crystal structure of Tl3OsO4.

a = 6.2363 Å, b = 6.2363 Å, c = 6.2363 Å
α = 89.37°, β = 121.20°, γ = 119.54°
Closest atoms and distances in Å follow each position.
Fractional coordinates of all 8 atoms:
O: 0.1063 0.3002 0.4065  1 Os 1.85
O: 0.1957 0.7752 0.4205  1 Os 1.83
Tl: 0.0347 0.0000 0.0347  4 O 2.70-2.75
O: 0.1063 0.6998 0.8061  1 Os 1.85
Tl: 0.5216 0.2441 0.7657  3 O 2.59-2.66
O: 0.6454 0.2248 0.4205  1 Os 1.83
Os: 0.0195 0.5000 0.5195  4 O 1.83-1.85
Tl: 0.5216 0.7559 0.2775  3 O 2.59-2.66

Summary:
Formation energy from raw total energies, eV per atom: -0.72
Space group: Imm2
Mass density, Mg/m³: 8.45

***

Record 5
Density functional theory data (PBE) for an optimized crystal structure of Cd2Hg3Bi.

a = 3.4173 Å, b = 8.8906 Å, c = 12.3228 Å
α = 113.25°, β = 90.00°, γ = 101.08°
Closest atoms and distances in Å follow each position.
Fractional coordinates of all 12 atoms:
Bi: 0.8763 0.7527 0.8458  1 Hg 3.14, 6 Cd 3.20-3.32, 2 Bi 3.42
Cd: 0.7054 0.4109 0.3926  2 Hg 3.00-3.01, 2 Cd 3.00, 2 Bi 3.20
Hg: 0.1285 0.2570 0.6261  1 Cd 3.00, 4 Hg 3.23-3.30
Hg: 0.7062 0.4124 0.8759  1 Cd 2.90, 1 Bi 3.14
Hg: 0.2938 0.5876 0.1241  1 Cd 2.90, 1 Bi 3.14
Cd: 0.4517 0.9034 0.0979  2 Hg 2.90-3.07
Cd: 0.5483 0.0966 0.9021  2 Hg 2.90-3.07
Hg: 0.5271 0.0542 0.3697  2 Cd 3.01-3.07, 2 Hg 3.23
Bi: 0.1237 0.2473 0.1542  1 Hg 3.14, 6 Cd 3.20-3.32, 2 Bi 3.42
Cd: 0.2946 0.5891 0.6074  2 Hg 3.00-3.01, 2 Cd 3.00, 2 Bi 3.20
Hg: 0.8715 0.7430 0.3739  1 Cd 3.00, 4 Hg 3.23-3.30
Hg: 0.4729 0.9458 0.6303  2 Cd 3.01-3.07, 2 Hg 3.23

Summary:
DFT total energy, eV/atom: -1.062
Space group: C2/m
Mass density, Mg/m³: 10.22

***

Record 6
Density functional theory data (PBE) for an optimized crystal structure of AcHo4Mg5.

a = 3.8284 Å, b = 3.8284 Å, c = 19.3925 Å
α = 90.00°, β = 90.00°, γ = 90.00°
Closest atoms and distances in Å follow each position.
Fractional coordinates of all 10 atoms:
Mg: 0.5000 0.5000 0.8804  4 Ho 3.27, 4 Ac 3.56
Mg: 0.5000 0.5000 0.5000  8 Ho 3.28
Ac: 0.0000 0.0000 0.0000  8 Mg 3.56, 4 Ac 3.83
Ho: 0.0000 0.0000 0.4047  8 Mg 3.28-3.29
Ho: 0.0000 0.0000 0.5953  8 Mg 3.28-3.29
Ho: 0.0000 0.0000 0.2143  8 Mg 3.27
Mg: 0.5000 0.5000 0.6913  8 Ho 3.27-3.29
Mg: 0.5000 0.5000 0.1196  4 Ho 3.27, 4 Ac 3.56
Mg: 0.5000 0.5000 0.3087  8 Ho 3.27-3.29
Ho: 0.0000 0.0000 0.7857  8 Mg 3.27

Summary:
DFT total energy, eV/atom: -3.105
Space group: P4/mmm
Mass density, Mg/m³: 5.89

***

Record 7
Density functional theory data (PBE) for an optimized crystal structure of BeZnCl4.

a = 6.5772 Å, b = 6.5772 Å, c = 9.2355 Å
α = 90.00°, β = 90.00°, γ = 90.00°
Closest atoms and distances in Å follow each position.
Fractional coordinates of all 12 atoms:
Cl: 0.7298 0.7697 0.5000  1 Be 2.14, 1 Zn 2.34
Zn: 0.0000 0.0000 0.5000  4 Cl 2.34
Be: 0.0000 0.5000 0.0000  4 Cl 2.14
Cl: 0.7697 0.2702 0.0000  1 Be 2.14, 1 Zn 2.34
Zn: 0.0000 0.0000 0.0000  4 Cl 2.34
Cl: 0.2702 0.2303 0.5000  1 Be 2.14, 1 Zn 2.34
Cl: 0.2702 0.7697 0.5000  1 Be 2.14, 1 Zn 2.34
Cl: 0.2303 0.2702 0.0000  1 Be 2.14, 1 Zn 2.34
Cl: 0.7697 0.7298 0.0000  1 Be 2.14, 1 Zn 2.34
Be: 0.5000 0.0000 0.5000  4 Cl 2.14
Cl: 0.7298 0.2303 0.5000  1 Be 2.14, 1 Zn 2.34
Cl: 0.2303 0.7298 0.0000  1 Be 2.14, 1 Zn 2.34

Summary:
Formation energy from raw total energies, eV per atom: -0.99
Space group: P4_2/mmc
Polymorph energy (0 for the lowest one), meV/atom: 0
Mass density, Mg/m³: 1.80

***

Record 8
Density functional theory data (PBE) for an optimized crystal structure of Tm2Zn3Ni4.

a = 5.2542 Å, b = 7.0235 Å, c = 7.9280 Å
α = 90.00°, β = 109.35°, γ = 90.00°
Closest atoms and distances in Å follow each position.
Fractional coordinates of all 18 atoms:
Ni: 0.1810 0.7500 0.8621  3 Zn 2.42-2.46, 2 Ni 2.63
Ni: 0.3190 0.2500 0.1379  3 Zn 2.42-2.46, 2 Ni 2.63
Ni: 0.6682 0.5153 0.3364  5 Zn 2.48-2.57, 2 Ni 2.72
Tm: 0.8931 0.4141 0.7862  5 Ni 2.76-2.95, 2 Zn 2.96
Tm: 0.1069 0.5859 0.2138  5 Ni 2.76-2.95, 2 Zn 2.96
Tm: 0.6069 0.9141 0.2138  5 Ni 2.76-2.95, 2 Zn 2.96
Zn: 0.9833 0.2500 0.4667  5 Ni 2.46-2.57, 2 Zn 2.63
Ni: 0.3318 0.4847 0.6636  5 Zn 2.48-2.57, 2 Ni 2.72
Zn: 0.4833 0.2500 0.4667  5 Ni 2.46-2.57, 2 Zn 2.63
Zn: 0.5000 0.5000 0.0000  6 Ni 2.42-2.52
Zn: 0.0167 0.7500 0.5333  5 Ni 2.46-2.57, 2 Zn 2.63
Ni: 0.6810 0.7500 0.8621  3 Zn 2.42-2.46, 2 Ni 2.63
Ni: 0.1682 0.9847 0.3364  5 Zn 2.48-2.57, 2 Ni 2.72
Ni: 0.8190 0.2500 0.1379  3 Zn 2.42-2.46, 2 Ni 2.63
Tm: 0.3931 0.0859 0.7862  5 Ni 2.76-2.95, 2 Zn 2.96
Ni: 0.8318 0.0153 0.6636  5 Zn 2.48-2.57, 2 Ni 2.72
Zn: 0.0000 0.0000 0.0000  6 Ni 2.42-2.52
Zn: 0.5167 0.7500 0.5333  5 Ni 2.46-2.57, 2 Zn 2.63

Summary:
DFT total energy, eV/atom: -4.389
Space group: Cmce
Mass density, Mg/m³: 9.25

***

Record 9
Density functional theory data (PBE) for an optimized crystal structure of Th5Hg12Pd3.

a = 14.7530 Å, b = 14.7530 Å, c = 14.7530 Å
α = 109.47°, β = 109.47°, γ = 109.47°
Closest atoms and distances in Å follow each position.
Fractional coordinates of all 80 atoms:
Th: 0.8750 0.2500 0.6250  4 Hg 3.00
Hg: 0.8628 0.2541 0.4195  1 Pd 2.70, 1 Hg 2.91, 1 Th 3.00
Hg: 0.6372 0.5566 0.8913  1 Pd 2.70, 1 Hg 2.91, 1 Th 3.00
Th: 0.6250 0.8750 0.2500  4 Hg 3.00
Hg: 0.8628 0.6087 0.9434  1 Pd 2.70, 1 Hg 2.91, 1 Th 3.00
Th: 0.0000 0.0000 0.5000  6 Hg 3.05
Hg: 0.3913 0.1372 0.5566  1 Pd 2.70, 1 Hg 2.91, 1 Th 3.00
Hg: 0.5805 0.3346 0.9434  1 Pd 2.70, 1 Hg 2.91, 1 Th 3.00
Hg: 0.5566 0.6372 0.3913  1 Pd 2.70, 1 Hg 2.91, 1 Th 3.00
Hg: 0.1372 0.3913 0.0566  1 Pd 2.70, 1 Hg 2.91, 1 Th 3.00
Pd: 0.8750 0.7500 0.1250  4 Hg 2.70
Hg: 0.8346 0.9434 0.0805  1 Pd 2.70, 1 Hg 2.91, 1 Th 3.00
Hg: 0.5566 0.9195 0.6654  1 Pd 2.70, 1 Hg 2.91, 1 Th 3.00
Hg: 0.6654 0.2459 0.6087  1 Pd 2.70, 1 Hg 2.91, 1 Th 3.00
Hg: 0.4195 0.7541 0.8628  1 Pd 2.70, 1 Hg 2.91, 1 Th 3.00
Hg: 0.2459 0.6654 0.1087  1 Pd 2.70, 1 Hg 2.91, 1 Th 3.00
Hg: 0.1087 0.1654 0.2459  1 Pd 2.70, 1 Hg 2.91, 1 Th 3.00
Hg: 0.0805 0.4434 0.8346  1 Pd 2.70, 1 Hg 2.91, 1 Th 3.00
Pd: 0.6250 0.3750 0.7500  4 Hg 2.70
Th: 0.0000 0.5000 0.0000  6 Hg 3.05
Hg: 0.7459 0.1372 0.0805  1 Pd 2.70, 1 Hg 2.91, 1 Th 3.00
Th: 0.6250 0.7500 0.8750  4 Hg 3.00
Hg: 0.2459 0.5805 0.6372  1 Pd 2.70, 1 Hg 2.91, 1 Th 3.00
Hg: 0.1372 0.7459 0.5805  1 Pd 2.70, 1 Hg 2.91, 1 Th 3.00
Hg: 0.9195 0.5566 0.1654  1 Pd 2.70, 1 Hg 2.91, 1 Th 3.00
Hg: 0.7541 0.3346 0.8913  1 Pd 2.70, 1 Hg 2.91, 1 Th 3.00
Hg: 0.6654 0.4195 0.5566  1 Pd 2.70, 1 Hg 2.91, 1 Th 3.00
Hg: 0.8913 0.8346 0.7541  1 Pd 2.70, 1 Hg 2.91, 1 Th 3.00
Th: 0.5000 0.0000 0.0000  6 Hg 3.05
Th: 0.2500 0.3750 0.6250  4 Hg 3.00
Hg: 0.1654 0.1087 0.7459  1 Pd 2.70, 1 Hg 2.91, 1 Th 3.00
Hg: 0.4434 0.0805 0.3346  1 Pd 2.70, 1 Hg 2.91, 1 Th 3.00
Hg: 0.2541 0.8628 0.9195  1 Pd 2.70, 1 Hg 2.91, 1 Th 3.00
Pd: 0.7500 0.8750 0.6250  4 Hg 2.70
Th: 0.7500 0.1250 0.8750  4 Hg 3.00
Hg: 0.0805 0.6372 0.7459  1 Pd 2.70, 1 Hg 2.91, 1 Th 3.00
Th: 0.1250 0.3750 0.2500  4 Hg 3.00
Hg: 0.0566 0.1654 0.4195  1 Pd 2.70, 1 Hg 2.91, 1 Th 3.00
Hg: 0.3346 0.7541 0.3913  1 Pd 2.70, 1 Hg 2.91, 1 Th 3.00
Th: 0.1250 0.7500 0.3750  4 Hg 3.00
Pd: 0.2500 0.6250 0.8750  4 Hg 2.70
Pd: 0.8750 0.1250 0.2500  4 Hg 2.70
Th: 0.8750 0.6250 0.7500  4 Hg 3.00
Hg: 0.7459 0.6087 0.1654  1 Pd 2.70, 1 Hg 2.91, 1 Th 3.00
Hg: 0.0566 0.8913 0.1372  1 Pd 2.70, 1 Hg 2.91, 1 Th 3.00
Th: 0.2500 0.8750 0.1250  4 Hg 3.00
Hg: 0.6372 0.0805 0.2459  1 Pd 2.70, 1 Hg 2.91, 1 Th 3.00
Hg: 0.4195 0.6654 0.0566  1 Pd 2.70, 1 Hg 2.91, 1 Th 3.00
Hg: 0.3628 0.9195 0.7541  1 Pd 2.70, 1 Hg 2.91, 1 Th 3.00
Hg: 0.3346 0.5805 0.4434  1 Pd 2.70, 1 Hg 2.91, 1 Th 3.00
Hg: 0.6087 0.7459 0.6654  1 Pd 2.70, 1 Hg 2.91, 1 Th 3.00
Th: 0.0000 0.5000 0.5000  6 Hg 3.05
Th: 0.3750 0.1250 0.7500  4 Hg 3.00
Hg: 0.6087 0.8628 0.4434  1 Pd 2.70, 1 Hg 2.91, 1 Th 3.00
Hg: 0.2541 0.3913 0.8346  1 Pd 2.70, 1 Hg 2.91, 1 Th 3.00
Hg: 0.1087 0.9434 0.3628  1 Pd 2.70, 1 Hg 2.91, 1 Th 3.00
Hg: 0.3913 0.2541 0.3346  1 Pd 2.70, 1 Hg 2.91, 1 Th 3.00
Pd: 0.1250 0.8750 0.7500  4 Hg 2.70
Hg: 0.3628 0.4434 0.1087  1 Pd 2.70, 1 Hg 2.91, 1 Th 3.00
Hg: 0.8346 0.8913 0.2541  1 Pd 2.70, 1 Hg 2.91, 1 Th 3.00
Pd: 0.3750 0.6250 0.2500  4 Hg 2.70
Th: 0.5000 0.0000 0.5000  6 Hg 3.05
Th: 0.3750 0.2500 0.1250  4 Hg 3.00
Th: 0.0000 0.0000 0.0000  6 Hg 3.05
Hg: 0.9195 0.3628 0.2541  1 Pd 2.70, 1 Hg 2.91, 1 Th 3.00
Hg: 0.4434 0.3628 0.6087  1 Pd 2.70, 1 Hg 2.91, 1 Th 3.00
Pd: 0.7500 0.3750 0.1250  4 Hg 2.70
Pd: 0.3750 0.7500 0.6250  4 Hg 2.70
Pd: 0.6250 0.2500 0.3750  4 Hg 2.70
Hg: 0.1654 0.0566 0.9195  1 Pd 2.70, 1 Hg 2.91, 1 Th 3.00
Th: 0.5000 0.5000 0.5000  6 Hg 3.05
Pd: 0.1250 0.2500 0.8750  4 Hg 2.70
Th: 0.7500 0.6250 0.3750  4 Hg 3.00
Hg: 0.7541 0.4195 0.3628  1 Pd 2.70, 1 Hg 2.91, 1 Th 3.00
Hg: 0.9434 0.8346 0.5805  1 Pd 2.70, 1 Hg 2.91, 1 Th 3.00
Hg: 0.8913 0.0566 0.6372  1 Pd 2.70, 1 Hg 2.91, 1 Th 3.00
Th: 0.5000 0.5000 0.0000  6 Hg 3.05
Hg: 0.9434 0.1087 0.8628  1 Pd 2.70, 1 Hg 2.91, 1 Th 3.00
Pd: 0.2500 0.1250 0.3750  4 Hg 2.70
Hg: 0.5805 0.2459 0.1372  1 Pd 2.70, 1 Hg 2.91, 1 Th 3.00

Summary:
DFT total energy, eV/atom: -2.500
Space group: Ia-3d
Mass density, Mg/m³: 10.44